Run w
Below is a relaxed structure of Sc2Co2O5, with properties calculated at the PBE+U level.

abc: 3.655 3.655 6.369
angles: 90.00 90.00 90.00
Element x y z (fractional)
Sc: 0.000 0.000 0.000
Sc: 0.000 0.000 0.500
Co: 0.500 0.500 0.189
Co: 0.500 0.500 0.811
O: 0.000 0.500 0.221
O: 0.000 0.500 0.779
O: 0.500 0.000 0.221
O: 0.500 0.000 0.779
O: 0.500 0.500 0.500

Summary:
Symmetry = P4/mmm (123)
Calculated volume = 9.5 Å³/atom

---

Run x
Below is a relaxed structure of Sc2Co2O5, with properties calculated at the PBE+U level.

abc: 3.745 3.745 7.918
angles: 90.00 90.00 90.00
Element x y z (fractional)
Sc: 0.000 0.000 0.246
Sc: 0.000 0.000 0.754
Co: 0.500 0.500 0.000
Co: 0.500 0.500 0.500
O: 0.000 0.000 0.500
O: 0.000 0.500 0.159
O: 0.000 0.500 0.841
O: 0.500 0.000 0.159
O: 0.500 0.000 0.841

Summary:
Symmetry = P4/mmm (123)
Calculated volume = 12.3 Å³/atom

---

Which one is the most stable? From the structures above, run x.